[1]
This record from Alexandria describes CdIn2BPt6 after structural relaxation. The functional is GGA-PBE.

Calculated values
energy of formation from the pure elements	-0.3192	eV per atom

```
data_CdIn2BPt6
_cell_length_a 4.8473
_cell_length_b 5.6513
_cell_length_c 6.9962
_cell_angle_alpha 101.73
_cell_angle_beta 98.09
_cell_angle_gamma 104.34
_space_group_name_H-M_alt 'P 1'
_space_group_IT_number 1
loop_
_space_group_symop_operation_xyz
'x,y,z'
loop_
_atom_site_label
_atom_site_type_symbol
_atom_site_fract_x
_atom_site_fract_y
_atom_site_fract_z
_atom_site_occupancy
Cd1 Cd 0.0000 0.0000 0.0000 1
In1 In 0.3739 0.5864 0.7991 1
In2 In 0.7662 0.1105 0.5871 1
B1 B 0.8859 0.5497 0.2847 1
Pt1 Pt 0.1875 0.9170 0.3938 1
Pt2 Pt 0.2100 0.4044 0.4000 1
Pt3 Pt 0.5472 0.6941 0.1941 1
Pt4 Pt 0.5787 0.1870 0.2017 1
Pt5 Pt 0.8417 0.6431 0.6104 1
Pt6 Pt 0.8847 0.4578 0.9610 1
```

=====

[2]
This record from Alexandria describes Tb12PmSm6 after structural relaxation. The functional is GGA-PBE.

Calculated values
excess energy over the best structure of this formula in the dataset	0.230	eV/atom
energy of formation from the pure elements	0.4390	eV per atom

```
data_Tb12PmSm6
_cell_length_a 13.5528
_cell_length_b 13.5528
_cell_length_c 12.6134
_cell_angle_alpha 90.00
_cell_angle_beta 90.00
_cell_angle_gamma 120.00
_space_group_name_H-M_alt 'R -3 m'
_space_group_IT_number 166
_space_group_name_Hall '-R 3 2"'
loop_
_atom_site_label
_atom_site_type_symbol
_atom_site_fract_x
_atom_site_fract_y
_atom_site_fract_z
_atom_site_occupancy
Tb1 Tb 0.0000 0.3833 0.0000 1
Tb2 Tb 0.0950 0.1900 0.8705 1
Pm1 Pm 0.0000 0.0000 0.5000 1
Sm1 Sm 0.0240 0.5120 0.2213 1
```

=====

[3]
This record from Alexandria describes V4SiB after structural relaxation. The functional is GGA-PBE.

Calculated values
E_form (uncorrected)	-2.4	eV per formula unit

```
data_V4SiB
_cell_length_a 6.7436
_cell_length_b 10.3412
_cell_length_c 4.4970
_cell_angle_alpha 90.00
_cell_angle_beta 112.16
_cell_angle_gamma 90.00
_space_group_name_H-M_alt 'C 1 2/c 1'
_space_group_IT_number 15
loop_
_space_group_symop_operation_xyz
'x,y,z'
'-x,-y,-z'
'-x,y,-z+1/2'
'x,-y,z+1/2'
'x+1/2,y+1/2,z'
'-x+1/2,-y+1/2,-z'
'-x+1/2,y+1/2,-z+1/2'
'x+1/2,-y+1/2,z+1/2'
loop_
_atom_site_label
_atom_site_type_symbol
_atom_site_fract_x
_atom_site_fract_y
_atom_site_fract_z
_atom_site_occupancy
V1 V 0.1058 0.1750 0.0720 1
V2 V 0.2161 0.4172 0.3498 1
Si1 Si 0.0000 0.3770 0.7500 1
B1 B 0.0000 0.0050 0.7500 1
```

=====

[4]
This record from Alexandria describes Cs2PmGe2S6 after structural relaxation. The functional is GGA-PBE.

Calculated values
E_form (uncorrected)	-10.0	eV per formula unit

```
data_Cs2PmGe2S6
_cell_length_a 12.7468
_cell_length_b 7.3618
_cell_length_c 8.9338
_cell_angle_alpha 90.00
_cell_angle_beta 118.16
_cell_angle_gamma 90.00
_space_group_name_H-M_alt 'C 1 2/m 1'
_space_group_IT_number 12
loop_
_space_group_symop_operation_xyz
'x,y,z'
'-x,-y,-z'
'-x,y,-z'
'x,-y,z'
'x+1/2,y+1/2,z'
'-x+1/2,-y+1/2,-z'
'-x+1/2,y+1/2,-z'
'x+1/2,-y+1/2,z'
loop_
_atom_site_label
_atom_site_type_symbol
_atom_site_fract_x
_atom_site_fract_y
_atom_site_fract_z
_atom_site_occupancy
Cs1 Cs 0.2160 0.0000 0.1496 1
Pm1 Pm 0.0000 0.0000 0.5000 1
Ge1 Ge 0.1051 0.5000 0.3185 1
S1 S 0.0017 0.2472 0.2610 1
S2 S 0.2438 0.0000 0.7357 1
```

=====

Magnetic moment values, unit μB/cell, following the record order: 0.00 0.01 0.00 0.00.